A relaxed structure of CuTcAs4. Source: Alexandria, functional GGA-PBE.

```
CuTcAs4
1.0
0.000 3.807 3.807
3.807 0.000 3.807
3.807 3.807 0.000
Cu Tc As
1 1 4
direct
0.000 0.000 0.000 Cu
0.750 0.750 0.750 Tc
0.375 0.375 0.375 As
0.375 0.375 0.876 As
0.375 0.876 0.375 As
0.876 0.375 0.375 As
```

Output
Space group: F-43m
Energy of formation (eV per atom): 0.86


A relaxed structure of KAcSnO3. Source: Alexandria, functional GGA-PBE.

```
KAcSnO3
1.0
8.220 0.000 0.000
0.000 3.582 0.000
-4.095 0.000 9.164
K Ac Sn O
2 2 2 6
direct
0.157 0.250 0.341 K
0.843 0.750 0.659 K
0.219 0.750 0.012 Ac
0.781 0.250 0.988 Ac
0.371 0.750 0.716 Sn
0.629 0.250 0.284 Sn
0.003 0.250 0.880 O
0.361 0.250 0.205 O
0.372 0.250 0.845 O
0.628 0.750 0.155 O
0.639 0.750 0.795 O
0.997 0.750 0.120 O
```

Output
ΔE_f (raw) (kJ/mol of formula units): -1223
Space group: P2_1/m


A relaxed structure of AlIrC2N. Source: Alexandria, functional GGA-PBE.

```
AlIrC2N
1.0
3.935 0.000 0.000
0.000 3.935 0.000
0.000 0.000 3.746
Al Ir C N
1 1 2 1
direct
0.000 0.000 0.000 Al
0.500 0.500 0.000 Ir
0.000 0.500 0.500 C
0.500 0.000 0.500 C
0.500 0.500 0.500 N
```

Output
ΔE_f (raw) (kJ/mol of formula units): 1115
Space group: P4/mmm


A relaxed structure of La8Pm4Ho. Source: Alexandria, functional GGA-PBE.

```
La8Pm4Ho
1.0
5.951 3.436 3.992
-5.951 3.436 3.992
0.000 -6.871 3.992
La Pm Ho
8 4 1
direct
0.171 0.171 0.672 La
0.171 0.672 0.171 La
0.237 0.237 0.237 La
0.328 0.829 0.829 La
0.672 0.171 0.171 La
0.763 0.763 0.763 La
0.829 0.328 0.829 La
0.829 0.829 0.328 La
0.000 0.000 0.000 Pm
0.000 0.500 0.500 Pm
0.500 0.000 0.500 Pm
0.500 0.500 0.000 Pm
0.500 0.500 0.500 Ho
```

Output
Space group: R-3m
Energy of formation (eV per atom): 0.36


A relaxed structure of BeFeRe2. Source: Alexandria, functional GGA-PBE.

```
BeFeRe2
1.0
2.645 0.000 0.000
0.000 4.010 0.000
-0.921 0.000 4.648
Be Fe Re
1 1 2
direct
0.000 0.000 0.000 Be
0.055 0.500 0.244 Fe
0.433 0.500 0.787 Re
0.662 0.000 0.475 Re
```

Output
Space group: Pm
Energy of formation (eV per atom): 0.03


A relaxed structure of LaTaTl2. Source: Alexandria, functional GGA-PBE.

```
LaTaTl2
1.0
1.636 0.945 10.738
-1.636 0.945 10.738
0.000 -1.889 10.738
La Ta Tl
1 1 2
direct
0.000 0.000 0.000 La
0.500 0.500 0.500 Ta
0.243 0.243 0.243 Tl
0.757 0.757 0.757 Tl
```

Output
Space group: R-3m
Energy of formation (eV per atom): 0.30


A relaxed structure of Tb2DyAl9. Source: Alexandria, functional GGA-PBE.

```
Tb2DyAl9
1.0
4.267 0.000 0.000
0.000 4.267 0.000
0.000 0.000 12.801
Tb Dy Al
2 1 9
direct
0.000 0.000 0.167 Tb
0.000 0.000 0.833 Tb
0.000 0.000 0.500 Dy
0.000 0.500 0.000 Al
0.000 0.500 0.334 Al
0.000 0.500 0.666 Al
0.500 0.000 0.000 Al
0.500 0.000 0.334 Al
0.500 0.000 0.666 Al
0.500 0.500 0.167 Al
0.500 0.500 0.500 Al
0.500 0.500 0.833 Al
```

Output
Space group: P4/mmm
Energy of formation (eV per atom): -0.42


A relaxed structure of BaCuSb2. Source: Alexandria, functional GGA-PBE.

```
BaCuSb2
1.0
3.938 0.000 0.000
0.000 3.938 0.000
0.000 0.000 7.331
Ba Cu Sb
1 1 2
direct
0.000 0.000 0.000 Ba
0.500 0.500 0.316 Cu
0.000 0.000 0.468 Sb
0.500 0.500 0.679 Sb
```

Output
ΔE_f (raw) (kJ/mol of formula units): -52
Space group: P4mm


no.,electronic total energy (eV/atom)
1,-4.65
2,-6.13
3,-5.56
4,-4.48
5,-9.24
6,-5.08
7,-4.38
8,-3.70